[1]
Density functional theory data (PBE) for crystalline Tb11Nd4Y9 at its relaxed geometry.

energy of formation from the pure elements: 52 meV/atom

a = 16.8331 Å, b = 25.2680 Å, c = 3.7083 Å
α = 90.00°, β = 90.00°, γ = 90.00°
Space group Cmmm (No. 65)
Unique sites:
Tb 0.0000 0.0000 0.0000 x2
Tb 0.0000 0.1586 0.0000 x4
Tb 0.0000 0.3652 0.0000 x4
Tb 0.2101 0.5000 0.0000 x4
Tb 0.2272 0.1812 0.0000 x8
Nd 0.1542 0.3994 0.5000 x8
Y 0.0000 0.5000 0.5000 x2
Y 0.1018 0.2637 0.5000 x8
Y 0.1394 0.0731 0.5000 x8


[2]
Density functional theory data (PBE) for crystalline Pr5YHo at its relaxed geometry.

energy above the most stable polymorph in this dataset: 0.818 eV/atom
energy of formation from the pure elements: 965 meV/atom

a = 13.6374 Å, b = 8.9124 Å, c = 5.9791 Å
α = 90.00°, β = 115.92°, γ = 90.00°
Space group C2/m (No. 12)
Unique sites:
Pr 0.0000 0.0000 0.0000 x2
Pr 0.0000 0.3233 0.5000 x4
Pr 0.2480 0.0000 0.7479 x4
Y 0.0000 0.5000 0.0000 x2
Ho 0.0000 0.0000 0.5000 x2


What did we get for N(E_F)? Answer: 62.21 27.02 states/eV per cell, in the order shown.
What did we get for raw total energy? Answer: -253.86 -56.37 eV per cell, in the order shown.
What did we get for magnetic moment? Answer: 0.02 0.01 μB per cell, in the order shown.